Density functional theory data (PBE) for a relaxed RbTiFe2S crystal.

The space group is P4/mmm (123). As for the uncorrected formation energy: 5.49 eV per formula unit.

```
RbTiFe2S
1.0
4.176 0.000 0.000
0.000 4.176 0.000
0.000 0.000 5.584
Rb Ti Fe S
1 1 2 1
Cartesian
0.000 0.000 0.000
2.088 2.088 0.000
0.000 2.088 2.792
2.088 0.000 2.792
0.000 0.000 2.792
```

Density functional theory data (PBE) for a relaxed Na2SnHg4Pb2 crystal.

The space group is I4/mmm (139). The calculation puts the formation enthalpy at 0 K at 0.031 eV per atom.

```
Na2SnHg4Pb2
1.0
-3.563 3.563 5.017
3.563 -3.563 5.017
3.563 3.563 -5.017
Na Sn Hg Pb
2 1 4 2
Cartesian
0.000 0.000 2.096
0.000 0.000 7.937
0.000 0.000 5.017
1.556 1.556 0.000
2.007 -2.007 5.017
-2.007 2.007 5.017
2.007 2.007 5.017
3.563 0.000 2.508
0.000 3.563 2.508
```